Entry from Alexandria: a geometry-optimized As2AuBrCl structure (PBE).

Unit cell a=5.039 b=5.039 c=5.042 alpha=90.00 beta=90.00 gamma=90.00
Space group P4/mmm (No. 123)
Asymmetric unit:
As (0.000, 0.500, 0.000)
Au (0.000, 0.000, 0.500)
Br (0.500, 0.500, 0.500)
Cl (0.500, 0.500, 0.000)

Calculated values
The value obtained for the excess energy over the best structure of this formula in the dataset is 2.43 eV/f.u.

***

Entry from Alexandria: a geometry-optimized As2AuBrCl structure (PBE).

Unit cell a=5.109 b=5.109 c=5.248 alpha=90.00 beta=90.00 gamma=90.00
Space group P4/mmm (No. 123)
Asymmetric unit:
As (0.000, 0.500, 0.000)
Au (0.000, 0.000, 0.000)
Br (0.000, 0.000, 0.500)
Cl (0.500, 0.500, 0.500)

Calculated values
The value obtained for the excess energy over the best structure of this formula in the dataset is 0.00 eV/f.u.

***

Entry from Alexandria: a geometry-optimized CoAsAuBr2 structure (PBE).

Unit cell a=5.043 b=5.043 c=4.411 alpha=90.00 beta=90.00 gamma=90.00
Space group P4/mmm (No. 123)
Asymmetric unit:
Co (0.000, 0.000, 0.000)
As (0.000, 0.000, 0.500)
Au (0.500, 0.500, 0.500)
Br (0.000, 0.500, 0.000)

Calculated values
The value obtained for the excess energy over the best structure of this formula in the dataset is 0.00 eV/f.u.

***

Entry from Alexandria: a geometry-optimized CrAs2AuBr structure (PBE).

Unit cell a=4.586 b=4.586 c=5.193 alpha=90.00 beta=90.00 gamma=90.00
Space group P4/mmm (No. 123)
Asymmetric unit:
Cr (0.000, 0.000, 0.000)
As (0.000, 0.500, 0.000)
Au (0.500, 0.500, 0.500)
Br (0.000, 0.000, 0.500)

Calculated values
The value obtained for the excess energy over the best structure of this formula in the dataset is 0.00 eV/f.u.

***

Entry from Alexandria: a geometry-optimized CrAsAuBr2 structure (PBE).

Unit cell a=4.928 b=4.928 c=4.745 alpha=90.00 beta=90.00 gamma=90.00
Space group P4/mmm (No. 123)
Asymmetric unit:
Cr (0.000, 0.000, 0.000)
As (0.000, 0.000, 0.500)
Au (0.500, 0.500, 0.500)
Br (0.000, 0.500, 0.000)

Calculated values
The value obtained for the excess energy over the best structure of this formula in the dataset is 0.00 eV/f.u.

***

Entry from Alexandria: a geometry-optimized Cs7AsAu2Br2 structure (PBE).

Unit cell a=6.401 b=30.788 c=7.047 alpha=90.00 beta=90.00 gamma=90.00
Space group Imm2 (No. 44)
Asymmetric unit:
Cs (0.000, 0.000, 0.000)
Cs (0.000, 0.096, 0.341)
Cs (0.000, 0.231, 0.848)
Cs (0.000, 0.432, 0.254)
As (0.000, 0.500, 0.766)
Au (0.000, 0.114, 0.839)
Br (0.000, 0.216, 0.348)

***

Going through the records in order, we get formation energy without anion corrections values of 1.121, 0.635, 0.453, 0.498, 0.517, -0.723 eV per atom.
Going through the records in order, we get total DFT energy (no corrections) values of -2.10, -2.58, -3.22, -4.28, -3.66, -2.43 eV per atom.